Record 1
The following is a DFT calculation (PBEsol) of a relaxed structure of CaScSb2.

Lattice parameters (Å, degrees): 4.1960 4.1960 21.7217 90.00 90.00 120.00
Space group R-3m (No. 166, hexagonal axes)
Unique sites:
Ca (0.0000, 0.0000, 0.0000) x3
Sc (0.0000, 0.0000, 0.5000) x3
Sb (0.0000, 0.0000, 0.2409) x6

## Properties
**Distance to the lowest polymorph of the same formula**: 0.000 eV/atom

Record 2
The following is a DFT calculation (PBEsol) of a relaxed structure of Ta3TiSi.

Lattice parameters (Å, degrees): 4.593 4.593 4.593 90.00 90.00 90.00
Space group Pm-3m (No. 221)
Unique sites:
Ta (0.000, 0.000, 0.500) x3
Ti (0.000, 0.000, 0.000) x1
Si (0.500, 0.500, 0.500) x1

## Properties
**Uncorrected energy**: -8.839 eV per atom